1.
Here is a relaxed structure of LiLa4Rh from Alexandria via LeMat-Bulk. Energies are from PBE-GGA.

Output
* V: 766.2 Å³ per cell
* energy of formation from the pure elements: -0.799 eV per formula unit
* ΔE to the lowest computed polymorph: 162.5 meV per atom

Lattice parameters (Å, degrees): 7.714 16.633 6.634 90.00 115.81 90.00
Space group C2/c (No. 15)
One atom of each set of equivalent atoms:
Li (0.000, 0.087, 0.250) (multiplicity 4)
La (0.198, 0.283, 0.706) (multiplicity 8)
La (0.217, 0.429, 0.201) (multiplicity 8)
Rh (0.000, 0.429, 0.750) (multiplicity 4)

---

2.
Here is a relaxed structure of Li3LaRh2 from Alexandria via LeMat-Bulk. Energies are from PBE-GGA.

Output
* V: 423.6 Å³ per cell
* energy of formation from the pure elements: -1.940 eV per formula unit

Lattice parameters (Å, degrees): 13.625 4.309 7.842 90.00 113.07 90.00
Space group C2/m (No. 12)
One atom of each set of equivalent atoms:
Li (0.063, 0.000, 0.384) (multiplicity 4)
Li (0.075, 0.500, 0.676) (multiplicity 4)
Li (0.216, 0.500, 0.534) (multiplicity 4)
La (0.143, 0.000, 0.016) (multiplicity 4)
Rh (0.072, 0.500, 0.174) (multiplicity 4)
Rh (0.206, 0.000, 0.739) (multiplicity 4)

---

3.
Here is a relaxed structure of Li2LaRh from Alexandria via LeMat-Bulk. Energies are from PBE-GGA.

Output
* V: 153.0 Å³ per cell
* energy of formation from the pure elements: -0.101 eV per formula unit
* ΔE to the lowest computed polymorph: 338.9 meV per atom

Lattice parameters (Å, degrees): 5.380 8.634 3.295 90.00 90.00 90.00
Space group Cmmm (No. 65)
One atom of each set of equivalent atoms:
Li (0.250, 0.250, 0.000) (multiplicity 4)
La (0.000, 0.000, 0.500) (multiplicity 2)
Rh (0.000, 0.500, 0.500) (multiplicity 2)

---

4.
Here is a relaxed structure of Li4LaRh from Alexandria via LeMat-Bulk. Energies are from PBE-GGA.

Output
* V: 424.2 Å³ per cell
* energy of formation from the pure elements: -0.100 eV per formula unit

Lattice parameters (Å, degrees): 7.514 7.514 7.514 90.00 90.00 90.00
Space group F-43m (No. 216)
One atom of each set of equivalent atoms:
Li (0.121, 0.121, 0.121) (multiplicity 16)
La (0.000, 0.000, 0.500) (multiplicity 4)
Rh (0.250, 0.250, 0.750) (multiplicity 4)

---

5.
Here is a relaxed structure of LiLa3Rh from Alexandria via LeMat-Bulk. Energies are from PBE-GGA.

Output
* V: 179.7 Å³ per cell
* energy of formation from the pure elements: -1.048 eV per formula unit
* ΔE to the lowest computed polymorph: 0.0 meV per atom

Lattice parameters (Å, degrees): 5.643 5.643 5.643 90.00 90.00 90.00
Space group Pm-3m (No. 221)
One atom of each set of equivalent atoms:
Li (0.000, 0.000, 0.000) (multiplicity 1)
La (0.000, 0.500, 0.500) (multiplicity 3)
Rh (0.500, 0.500, 0.500) (multiplicity 1)

---

6.
Here is a relaxed structure of Li2LaRh from Alexandria via LeMat-Bulk. Energies are from PBE-GGA.

Output
* V: 86.3 Å³ per cell
* energy of formation from the pure elements: -0.940 eV per formula unit
* ΔE to the lowest computed polymorph: 129.0 meV per atom

Lattice parameters (Å, degrees): 3.515 3.515 6.983 90.00 90.00 90.00
Space group P4mm (No. 99)
One atom of each set of equivalent atoms:
Li (0.000, 0.000, 0.000) (multiplicity 1)
Li (0.500, 0.500, 0.185) (multiplicity 1)
La (0.500, 0.500, 0.608) (multiplicity 1)
Rh (0.000, 0.000, 0.393) (multiplicity 1)

---

7.
Here is a relaxed structure of LiLaRh2 from Alexandria via LeMat-Bulk. Energies are from PBE-GGA.

Output
* V: 72.2 Å³ per cell
* energy of formation from the pure elements: -0.730 eV per formula unit

Lattice parameters (Å, degrees): 3.178 4.104 5.533 90.00 90.00 90.00
Space group Pmm2 (No. 25)
One atom of each set of equivalent atoms:
Li (0.000, 0.000, 0.000) (multiplicity 1)
La (0.500, 0.500, 0.674) (multiplicity 1)
Rh (0.000, 0.000, 0.433) (multiplicity 1)
Rh (0.500, 0.500, 0.168) (multiplicity 1)

---

8.
Here is a relaxed structure of LiLaRh from Alexandria via LeMat-Bulk. Energies are from PBE-GGA.

Output
* V: 63.7 Å³ per cell
* energy of formation from the pure elements: -1.059 eV per formula unit
* ΔE to the lowest computed polymorph: 181.2 meV per atom

Lattice parameters (Å, degrees): 4.3994 4.3994 3.7979 90.00 90.00 120.00
Space group P-6m2 (No. 187)
One atom of each set of equivalent atoms:
Li (0.0000, 0.0000, 0.0000) (multiplicity 1)
La (0.3333, 0.6667, 0.5000) (multiplicity 1)
Rh (0.6667, 0.3333, 0.0000) (multiplicity 1)

---

9.
Here is a relaxed structure of LiLa3Rh8 from Alexandria via LeMat-Bulk. Energies are from PBE-GGA.

Output
* V: 664.4 Å³ per cell
* energy of formation from the pure elements: -6.657 eV per formula unit

Lattice parameters (Å, degrees): 5.3803 5.3803 26.5030 90.00 90.00 120.00
Space group R3m (No. 160, hexagonal axes)
One atom of each set of equivalent atoms:
Li (0.0000, 0.0000, 0.0000) (multiplicity 3)
La (0.0000, 0.0000, 0.1220) (multiplicity 3)
La (0.0000, 0.0000, 0.5062) (multiplicity 3)
La (0.0000, 0.0000, 0.6360) (multiplicity 3)
Rh (0.0000, 0.0000, 0.3176) (multiplicity 3)
Rh (0.0000, 0.0000, 0.8177) (multiplicity 3)
Rh (0.0009, 0.5004, 0.5686) (multiplicity 9)
Rh (0.0014, 0.5007, 0.0667) (multiplicity 9)

---

10.
Here is a relaxed structure of Li2LaRh from Alexandria via LeMat-Bulk. Energies are from PBE-GGA.

Output
* V: 168.2 Å³ per cell
* energy of formation from the pure elements: -1.054 eV per formula unit
* ΔE to the lowest computed polymorph: 100.5 meV per atom

Lattice parameters (Å, degrees): 7.326 4.242 5.943 90.00 114.37 90.00
Space group Cm (No. 8)
One atom of each set of equivalent atoms:
Li (0.000, 0.000, 0.000) (multiplicity 2)
Li (0.210, 0.500, 0.130) (multiplicity 2)
La (0.022, 0.500, 0.569) (multiplicity 2)
Rh (0.287, 0.000, 0.860) (multiplicity 2)

---

11.
Here is a relaxed structure of LiLa4Rh from Alexandria via LeMat-Bulk. Energies are from PBE-GGA.

Output
* V: 2963.6 Å³ per cell
* energy of formation from the pure elements: -1.775 eV per formula unit
* ΔE to the lowest computed polymorph: 0.0 meV per atom

Lattice parameters (Å, degrees): 14.364 14.364 14.364 90.00 90.00 90.00
Space group F-43m (No. 216)
One atom of each set of equivalent atoms:
Li (0.078, 0.078, 0.422) (multiplicity 16)
La (0.000, 0.000, 0.187) (multiplicity 24)
La (0.062, 0.250, 0.250) (multiplicity 24)
La (0.154, 0.154, 0.654) (multiplicity 16)
Rh (0.141, 0.141, 0.859) (multiplicity 16)

---

12.
Here is a relaxed structure of LiLa2Sb3Rh4 from Alexandria via LeMat-Bulk. Energies are from PBE-GGA.

Output
* V: 210.4 Å³ per cell
* formation energy without anion corrections: -0.842 eV/atom

Lattice parameters (Å, degrees): 4.355 4.355 11.099 90.00 90.00 90.00
Space group P-4m2 (No. 115)
One atom of each set of equivalent atoms:
Li (0.000, 0.000, 0.000) (multiplicity 1)
La (0.000, 0.500, 0.759) (multiplicity 2)
Sb (0.000, 0.500, 0.366) (multiplicity 2)
Sb (0.500, 0.500, 0.000) (multiplicity 1)
Rh (0.000, 0.000, 0.500) (multiplicity 1)
Rh (0.000, 0.500, 0.134) (multiplicity 2)
Rh (0.500, 0.500, 0.500) (multiplicity 1)

---

13.
Here is a relaxed structure of LiLaSbRh from Alexandria via LeMat-Bulk. Energies are from PBE-GGA.

Output
* V: 323.6 Å³ per cell
* formation energy without anion corrections: -0.803 eV/atom

Lattice parameters (Å, degrees): 6.866 6.866 6.866 90.00 90.00 90.00
Space group F-43m (No. 216)
One atom of each set of equivalent atoms:
Li (0.000, 0.000, 0.000) (multiplicity 4)
La (0.250, 0.250, 0.750) (multiplicity 4)
Sb (0.250, 0.250, 0.250) (multiplicity 4)
Rh (0.000, 0.000, 0.500) (multiplicity 4)

---

14.
Here is a relaxed structure of LiLaRhSe2 from Alexandria via LeMat-Bulk. Energies are from PBE-GGA.

Output
* V: 135.8 Å³ per cell
* formation energy without anion corrections: -0.534 eV/atom

Lattice parameters (Å, degrees): 5.285 5.285 4.863 90.00 90.00 90.00
Space group P4/mmm (No. 123)
One atom of each set of equivalent atoms:
Li (0.000, 0.000, 0.000) (multiplicity 1)
La (0.500, 0.500, 0.000) (multiplicity 1)
Rh (0.500, 0.500, 0.500) (multiplicity 1)
Se (0.000, 0.500, 0.500) (multiplicity 2)

---

15.
Here is a relaxed structure of Li2LaRhSe from Alexandria via LeMat-Bulk. Energies are from PBE-GGA.

Output
* V: 101.2 Å³ per cell
* formation energy without anion corrections: -0.500 eV/atom

Lattice parameters (Å, degrees): 4.534 4.534 4.922 90.00 90.00 90.00
Space group P4/mmm (No. 123)
One atom of each set of equivalent atoms:
Li (0.000, 0.500, 0.000) (multiplicity 2)
La (0.000, 0.000, 0.500) (multiplicity 1)
Rh (0.500, 0.500, 0.000) (multiplicity 1)
Se (0.500, 0.500, 0.500) (multiplicity 1)

---

16.
Here is a relaxed structure of LiLaSn2Rh from Alexandria via LeMat-Bulk. Energies are from PBE-GGA.

Output
* V: 229.4 Å³ per cell
* energy of formation from the pure elements: -3.101 eV per formula unit

Lattice parameters (Å, degrees): 4.530 4.530 11.180 90.00 90.00 90.00
Space group I-4m2 (No. 119)
One atom of each set of equivalent atoms:
Li (0.000, 0.000, 0.000) (multiplicity 2)
La (0.000, 0.500, 0.250) (multiplicity 2)
Sn (0.000, 0.500, 0.622) (multiplicity 4)
Rh (0.000, 0.000, 0.500) (multiplicity 2)

---

17.
Here is a relaxed structure of Li2La2SnRh5 from Alexandria via LeMat-Bulk. Energies are from PBE-GGA.

Output
* V: 343.6 Å³ per cell
* energy of formation from the pure elements: -5.269 eV per formula unit

Lattice parameters (Å, degrees): 9.583 9.583 3.741 90.00 90.00 90.00
Space group P4/mbm (No. 127)
One atom of each set of equivalent atoms:
Li (0.119, 0.381, 0.000) (multiplicity 4)
La (0.176, 0.676, 0.000) (multiplicity 4)
Sn (0.000, 0.000, 0.000) (multiplicity 2)
Rh (0.000, 0.500, 0.500) (multiplicity 2)
Rh (0.072, 0.208, 0.500) (multiplicity 8)

---

18.
Here is a relaxed structure of LiLa2SnRh from Alexandria via LeMat-Bulk. Energies are from PBE-GGA.

Output
* V: 142.6 Å³ per cell
* energy of formation from the pure elements: -2.501 eV per formula unit

Lattice parameters (Å, degrees): 5.477 5.477 4.753 90.00 90.00 90.00
Space group P4/mmm (No. 123)
One atom of each set of equivalent atoms:
Li (0.000, 0.000, 0.000) (multiplicity 1)
La (0.000, 0.500, 0.500) (multiplicity 2)
Sn (0.500, 0.500, 0.000) (multiplicity 1)
Rh (0.000, 0.000, 0.500) (multiplicity 1)

---

19.
Here is a relaxed structure of SrLiLa2Rh from Alexandria via LeMat-Bulk. Energies are from PBE-GGA.

Output
* V: 171.8 Å³ per cell
* energy of formation from the pure elements: -0.963 eV per formula unit
* ΔE to the lowest computed polymorph: 25.7 meV per atom

Lattice parameters (Å, degrees): 5.488 5.488 5.702 90.00 90.00 90.00
Space group P4/mmm (No. 123)
One atom of each set of equivalent atoms:
Sr (0.000, 0.000, 0.000) (multiplicity 1)
Li (0.500, 0.500, 0.000) (multiplicity 1)
La (0.000, 0.500, 0.500) (multiplicity 2)
Rh (0.500, 0.500, 0.500) (multiplicity 1)

---

20.
Here is a relaxed structure of SrLi2LaRh from Alexandria via LeMat-Bulk. Energies are from PBE-GGA.

Output
* V: 146.5 Å³ per cell
* energy of formation from the pure elements: -0.448 eV per formula unit

Lattice parameters (Å, degrees): 5.344 5.344 5.129 90.00 90.00 90.00
Space group P4/mmm (No. 123)
One atom of each set of equivalent atoms:
Sr (0.000, 0.000, 0.000) (multiplicity 1)
Li (0.000, 0.500, 0.500) (multiplicity 2)
La (0.500, 0.500, 0.000) (multiplicity 1)
Rh (0.500, 0.500, 0.500) (multiplicity 1)